Entry 1:
First-principles (GGA-PBE) data for an optimized crystal structure of Sr, as listed in Alexandria via LeMat-Bulk.

Calculated total energy ... -0.6959 eV/atom
Volume ... 138.3 Å³/f.u.
E above lowest polymorph ... 985.9 meV per atom
Formation energy from the elements ... 95.1 kJ per mole of atoms

abc: 10.2541 10.2541 10.2541
angles: 109.47 109.47 109.47
Closest atoms and distances in Å follow each position.
Element x y z (fractional)
Sr  0.2500  0.5000  0.7500  4 Sr 4.19
Sr  0.2500  0.7500  0.5000  4 Sr 4.19
Sr  0.5000  0.2500  0.7500  4 Sr 4.19
Sr  0.5000  0.7500  0.2500  4 Sr 4.19
Sr  0.7500  0.2500  0.5000  4 Sr 4.19
Sr  0.7500  0.5000  0.2500  4 Sr 4.19

---

Entry 2:
First-principles (GGA-PBE) data for an optimized crystal structure of KPuZnCl6, as listed in Alexandria via LeMat-Bulk.

Calculated total energy ... -4.7334 eV/atom
Volume ... 278.9 Å³/f.u.
Raw formation energy ... -1646.4 meV/atom

abc: 6.8734 6.8734 13.6311
angles: 90.00 90.00 120.00
Closest atoms and distances in Å follow each position.
Element x y z (fractional)
K  0.0000  0.0000  0.0000  6 Cl 3.21
K  0.0000  0.0000  0.5000  6 Cl 3.21
Pu  0.3333  0.6667  0.2500  6 Cl 2.73
Pu  0.6667  0.3333  0.7500  6 Cl 2.73
Zn  0.3333  0.6667  0.7500  6 Cl 2.51
Zn  0.6667  0.3333  0.2500  6 Cl 2.51
Cl  0.0251  0.3819  0.6436  1 Zn 2.51, 1 Pu 2.73
Cl  0.0251  0.6431  0.8564  1 Zn 2.51, 1 Pu 2.73
Cl  0.3569  0.3819  0.8564  1 Zn 2.51, 1 Pu 2.73
Cl  0.3569  0.9749  0.6436  1 Zn 2.51, 1 Pu 2.73
Cl  0.3819  0.0251  0.1436  1 Zn 2.51, 1 Pu 2.73
Cl  0.3819  0.3569  0.3564  1 Zn 2.51, 1 Pu 2.73
Cl  0.6181  0.6431  0.6436  1 Zn 2.51, 1 Pu 2.73
Cl  0.6181  0.9749  0.8564  1 Zn 2.51, 1 Pu 2.73
Cl  0.6431  0.0251  0.3564  1 Zn 2.51, 1 Pu 2.73
Cl  0.6431  0.6181  0.1436  1 Zn 2.51, 1 Pu 2.73
Cl  0.9749  0.3569  0.1436  1 Zn 2.51, 1 Pu 2.73
Cl  0.9749  0.6181  0.3564  1 Zn 2.51, 1 Pu 2.73

---

Entry 3:
First-principles (GGA-PBE) data for an optimized crystal structure of Nd5Sm2Ho3, as listed in Alexandria via LeMat-Bulk.

Calculated total energy ... -4.5179 eV/atom
Volume ... 343.2 Å³/f.u.
E above lowest polymorph ... 0.0 meV per atom
Formation energy from the elements ... 17.7 kJ per mole of atoms

abc: 9.2536 9.2536 10.0177
angles: 108.41 108.41 108.24
Closest atoms and distances in Å follow each position.
Element x y z (fractional)
Nd  0.0246  0.9754  0.7500  1 Nd 3.09, 2 Ho 3.40
Nd  0.1208  0.3639  0.7382  3 Ho 3.46-3.75, 3 Nd 3.47-3.52, 2 Sm 3.71-3.82
Nd  0.2310  0.7690  0.7500  1 Nd 3.09, 2 Sm 3.40
Nd  0.2714  0.7286  0.2500  3 Ho 3.12-3.39
Nd  0.3639  0.1208  0.2382  3 Ho 3.46-3.75, 3 Nd 3.47-3.52, 2 Sm 3.71-3.82
Nd  0.6361  0.8792  0.7618  3 Ho 3.46-3.75, 3 Nd 3.47-3.52, 2 Sm 3.71-3.82
Nd  0.7286  0.2714  0.7500  3 Ho 3.12-3.39
Nd  0.7690  0.2310  0.2500  1 Nd 3.09, 2 Sm 3.40
Nd  0.8792  0.6361  0.2618  3 Ho 3.46-3.75, 3 Nd 3.47-3.52, 2 Sm 3.71-3.82
Nd  0.9754  0.0246  0.2500  1 Nd 3.09, 2 Ho 3.40
Sm  0.2269  0.4717  0.4430  3 Ho 3.28-3.49, 4 Nd 3.40-3.58
Sm  0.4717  0.2269  0.9430  3 Ho 3.28-3.49, 4 Nd 3.40-3.58
Sm  0.5283  0.7731  0.0570  3 Ho 3.28-3.49, 4 Nd 3.40-3.58
Sm  0.7731  0.5283  0.5570  3 Ho 3.28-3.49, 4 Nd 3.40-3.58
Ho  0.0332  0.2806  0.0546  1 Sm 3.28, 5 Nd 3.39-3.59, 1 Ho 3.50
Ho  0.2806  0.0332  0.5546  1 Sm 3.28, 5 Nd 3.39-3.59, 1 Ho 3.50
Ho  0.4797  0.5203  0.2500  3 Nd 3.12-3.46, 4 Sm 3.36-3.49, 2 Ho 3.50
Ho  0.5203  0.4797  0.7500  3 Nd 3.12-3.46, 4 Sm 3.36-3.49, 2 Ho 3.50
Ho  0.7194  0.9668  0.4454  1 Sm 3.28, 5 Nd 3.39-3.59, 1 Ho 3.50
Ho  0.9668  0.7194  0.9454  1 Sm 3.28, 5 Nd 3.39-3.59, 1 Ho 3.50

---

Entry 4:
First-principles (GGA-PBE) data for an optimized crystal structure of Ba2ZnF6, as listed in Alexandria via LeMat-Bulk.

Calculated total energy ... -5.1556 eV/atom
Volume ... 143.7 Å³/f.u.
E above lowest polymorph ... 0.0 meV per atom
Raw formation energy ... -3339.2 meV/atom

abc: 8.6823 8.6823 8.6823
angles: 152.03 152.03 39.97
Closest atoms and distances in Å follow each position.
Element x y z (fractional)
Ba  0.1517  0.1517  0.0000  4 F 2.64
Ba  0.8483  0.8483  0.0000  4 F 2.64
Zn  0.5000  0.5000  0.0000  6 F 1.97-2.10
F  0.0000  0.5000  0.5000  2 Zn 2.10
F  0.2500  0.7500  0.5000  4 Ba 2.64
F  0.3792  0.3792  0.0000  1 Zn 1.97
F  0.5000  0.0000  0.5000  2 Zn 2.10
F  0.6208  0.6208  0.0000  1 Zn 1.97
F  0.7500  0.2500  0.5000  4 Ba 2.64

---

Entry 5:
First-principles (GGA-PBE) data for an optimized crystal structure of MgPW2, as listed in Alexandria via LeMat-Bulk.

Calculated total energy ... -7.9238 eV/atom
Volume ... 61.4 Å³/f.u.
E above lowest polymorph ... 208.7 meV per atom
Formation energy from the elements ... 29.3 kJ per mole of atoms

abc: 5.0327 5.0327 5.0327
angles: 141.62 128.04 66.41
Closest atoms and distances in Å follow each position.
Element x y z (fractional)
Mg  0.0000  0.0000  0.0000  2 P 2.69, 8 W 2.76-2.93
P  0.7475  0.2475  0.5000  6 W 2.51-2.76, 2 Mg 2.69
W  0.2705  0.7705  0.5000  2 W 2.70, 4 P 2.76, 4 Mg 2.82-2.93
W  0.5236  0.5236  0.0000  2 P 2.51, 2 W 2.70, 4 Mg 2.76

---

Entry 6:
First-principles (GGA-PBE) data for an optimized crystal structure of SrCaAs2, as listed in Alexandria via LeMat-Bulk.

Calculated total energy ... -4.1174 eV/atom
Volume ... 102.9 Å³/f.u.
E above lowest polymorph ... 99.3 meV per atom
Formation energy from the elements ... -84.1 kJ per mole of atoms

abc: 5.5422 5.5422 3.3564
angles: 90.24 90.24 93.80
Closest atoms and distances in Å follow each position.
Element x y z (fractional)
Sr  0.0000  0.0000  0.0000  8 As 3.23-3.25, 2 Sr 3.36
Ca  0.5000  0.5000  0.0000  8 As 3.23-3.25, 2 Ca 3.36
As  0.0000  0.5000  0.5000  4 Ca 3.23-3.25, 4 Sr 3.23-3.25, 2 As 3.36
As  0.5000  0.0000  0.5000  4 Ca 3.23-3.25, 4 Sr 3.23-3.25, 2 As 3.36

---

Entry 7:
First-principles (GGA-PBE) data for an optimized crystal structure of U2Ga6Au, as listed in Alexandria via LeMat-Bulk.

Calculated total energy ... -4.8220 eV/atom
Volume ... 188.1 Å³/f.u.
Formation energy from the elements ... 6.6 kJ per mole of atoms

abc: 4.7537 4.7537 8.3237
angles: 90.00 90.00 90.00
Closest atoms and distances in Å follow each position.
Element x y z (fractional)
U  0.0000  0.0000  0.2422  12 Ga 3.12-3.40
U  0.0000  0.0000  0.7578  12 Ga 3.12-3.40
Ga  0.0000  0.5000  0.0000  4 Ga 2.83, 4 U 3.12
Ga  0.0000  0.5000  0.5000  2 Au 2.38
Ga  0.5000  0.0000  0.0000  4 Ga 2.83, 4 U 3.12
Ga  0.5000  0.0000  0.5000  2 Au 2.38
Ga  0.5000  0.5000  0.1844  1 Au 2.63, 4 Ga 2.83
Ga  0.5000  0.5000  0.8156  1 Au 2.63, 4 Ga 2.83
Au  0.5000  0.5000  0.5000  6 Ga 2.38-2.63

---

Entry 8:
First-principles (GGA-PBE) data for an optimized crystal structure of Pm4DyCd, as listed in Alexandria via LeMat-Bulk.

Calculated total energy ... -3.7048 eV/atom
Volume ... 218.7 Å³/f.u.
E above lowest polymorph ... 476.2 meV per atom
Formation energy from the elements ... 36.8 kJ per mole of atoms

abc: 5.3937 5.3937 7.5168
angles: 90.00 90.00 90.00
Closest atoms and distances in Å follow each position.
Element x y z (fractional)
Pm  0.0000  0.5000  0.2417  2 Cd 3.25, 2 Dy 3.32, 1 Pm 3.63
Pm  0.0000  0.5000  0.7583  2 Cd 3.25, 2 Dy 3.32, 1 Pm 3.63
Pm  0.5000  0.0000  0.2417  2 Cd 3.25, 2 Dy 3.32, 1 Pm 3.63
Pm  0.5000  0.0000  0.7583  2 Cd 3.25, 2 Dy 3.32, 1 Pm 3.63
Dy  0.0000  0.0000  0.5000  8 Pm 3.32
Cd  0.5000  0.5000  0.0000  8 Pm 3.25

---

Please write out number 2 again, unchanged.
First-principles (GGA-PBE) data for an optimized crystal structure of KPuZnCl6, as listed in Alexandria via LeMat-Bulk.

Calculated total energy ... -4.7334 eV/atom
Volume ... 278.9 Å³/f.u.
Raw formation energy ... -1646.4 meV/atom

abc: 6.8734 6.8734 13.6311
angles: 90.00 90.00 120.00
Closest atoms and distances in Å follow each position.
Element x y z (fractional)
K  0.0000  0.0000  0.0000  6 Cl 3.21
K  0.0000  0.0000  0.5000  6 Cl 3.21
Pu  0.3333  0.6667  0.2500  6 Cl 2.73
Pu  0.6667  0.3333  0.7500  6 Cl 2.73
Zn  0.3333  0.6667  0.7500  6 Cl 2.51
Zn  0.6667  0.3333  0.2500  6 Cl 2.51
Cl  0.0251  0.3819  0.6436  1 Zn 2.51, 1 Pu 2.73
Cl  0.0251  0.6431  0.8564  1 Zn 2.51, 1 Pu 2.73
Cl  0.3569  0.3819  0.8564  1 Zn 2.51, 1 Pu 2.73
Cl  0.3569  0.9749  0.6436  1 Zn 2.51, 1 Pu 2.73
Cl  0.3819  0.0251  0.1436  1 Zn 2.51, 1 Pu 2.73
Cl  0.3819  0.3569  0.3564  1 Zn 2.51, 1 Pu 2.73
Cl  0.6181  0.6431  0.6436  1 Zn 2.51, 1 Pu 2.73
Cl  0.6181  0.9749  0.8564  1 Zn 2.51, 1 Pu 2.73
Cl  0.6431  0.0251  0.3564  1 Zn 2.51, 1 Pu 2.73
Cl  0.6431  0.6181  0.1436  1 Zn 2.51, 1 Pu 2.73
Cl  0.9749  0.3569  0.1436  1 Zn 2.51, 1 Pu 2.73
Cl  0.9749  0.6181  0.3564  1 Zn 2.51, 1 Pu 2.73

---

Please write out number 4 again, unchanged.
First-principles (GGA-PBE) data for an optimized crystal structure of Ba2ZnF6, as listed in Alexandria via LeMat-Bulk.

Calculated total energy ... -5.1556 eV/atom
Volume ... 143.7 Å³/f.u.
E above lowest polymorph ... 0.0 meV per atom
Raw formation energy ... -3339.2 meV/atom

abc: 8.6823 8.6823 8.6823
angles: 152.03 152.03 39.97
Closest atoms and distances in Å follow each position.
Element x y z (fractional)
Ba  0.1517  0.1517  0.0000  4 F 2.64
Ba  0.8483  0.8483  0.0000  4 F 2.64
Zn  0.5000  0.5000  0.0000  6 F 1.97-2.10
F  0.0000  0.5000  0.5000  2 Zn 2.10
F  0.2500  0.7500  0.5000  4 Ba 2.64
F  0.3792  0.3792  0.0000  1 Zn 1.97
F  0.5000  0.0000  0.5000  2 Zn 2.10
F  0.6208  0.6208  0.0000  1 Zn 1.97
F  0.7500  0.2500  0.5000  4 Ba 2.64

---

> Among the records above, which one has the highest volume?

Nd5Sm2Ho3